Crystalline KTcOs2 at its relaxed geometry. Source: Alexandria, functional GGA-PBE.

Lattice parameters (Å, degrees): 5.903 5.903 5.903 153.49 130.06 57.42
Positions (direct):
K 0.000 0.000 0.000
Tc 0.500 0.500 0.000
Os 0.283 0.783 0.500
Os 0.717 0.217 0.500

Properties
The size of the total moment is 0.00 μB per cell. The value obtained for the energy of formation from the pure elements is 1.251 eV/atom. The total energy comes out at -7.23 eV per atom. The relative energy among the computed polymorphs comes out at 563 meV per atom. The volume is 69.8 Å³ per cell.